Entry 1:
Here is Tb3ScHg2 after structural relaxation from Alexandria. Energies are from PBE-GGA.

Unit cell a=5.132 b=6.788 c=9.225 alpha=90.00 beta=90.00 gamma=90.00
Sites, in units of the cell vectors:
1 Tb 0.000 0.487 0.952
2 Tb 0.500 0.179 0.819
3 Tb 0.000 0.318 0.333
4 Tb 0.000 0.987 0.048
5 Tb 0.000 0.818 0.667
6 Tb 0.500 0.679 0.181
7 Hg 0.000 0.774 0.348
8 Hg 0.500 0.728 0.846
9 Hg 0.000 0.274 0.652
10 Hg 0.500 0.228 0.154
11 Sc 0.500 0.016 0.451
12 Sc 0.500 0.516 0.549

The calculation puts the energy above the most stable polymorph in this dataset at 0 meV/atom. The formation energy is -2.0 eV/f.u. The space group is No. 26.

Entry 2:
Here is Tb4ScHg2 after structural relaxation from Alexandria. Energies are from PBE-GGA.

Unit cell a=5.389 b=5.389 c=9.044 alpha=72.67 beta=72.67 gamma=60.00
Sites, in units of the cell vectors:
1 Tb 0.731 0.731 0.808
2 Tb 0.131 0.131 0.608
3 Tb 0.269 0.269 0.192
4 Tb 0.869 0.869 0.392
5 Sc 0.500 0.500 0.500
6 Hg 0.611 0.611 0.167
7 Hg 0.389 0.389 0.833

The formation energy is -0.2 eV/f.u. The space group is No. 166.